Compound: Hg2RuCl
Source: Alexandria via LeMat-Bulk
Functional: PBE
Structure: optimized geometry

Lattice parameters (Å, degrees): 5.058 5.058 3.179 90.00 90.00 90.00
Sites, in units of the cell vectors:
1 Hg 0.000 0.500 0.000
2 Hg 0.500 0.000 0.000
3 Ru 0.000 0.000 0.500
4 Cl 0.500 0.500 0.500

Compound: Hg2RuCl
Source: Alexandria via LeMat-Bulk
Functional: PBE
Structure: optimized geometry

Lattice parameters (Å, degrees): 3.664 3.733 6.572 90.00 90.00 90.00
Sites, in units of the cell vectors:
1 Hg 0.000 0.000 0.000
2 Hg 0.500 0.500 0.291
3 Ru 0.000 0.000 0.421
4 Cl 0.500 0.500 0.743

Compound: HgRuCl2
Source: Alexandria via LeMat-Bulk
Functional: PBE
Structure: optimized geometry

Lattice parameters (Å, degrees): 3.125 7.123 7.123 38.25 90.00 90.00
Sites, in units of the cell vectors:
1 Hg 0.000 0.000 0.000
2 Ru 0.500 0.469 0.469
3 Cl 0.000 0.339 0.339
4 Cl 0.500 0.640 0.640

Compound: Hg2RuCl
Source: Alexandria via LeMat-Bulk
Functional: PBE
Structure: optimized geometry

Lattice parameters (Å, degrees): 11.112 11.112 11.112 158.56 158.56 30.50
Sites, in units of the cell vectors:
1 Hg 0.113 0.625 0.988
2 Hg 0.375 0.363 0.488
3 Hg 0.637 0.125 0.012
4 Hg 0.875 0.887 0.512
5 Ru 0.000 0.000 0.000
6 Ru 0.750 0.250 0.500
7 Cl 0.250 0.750 0.500
8 Cl 0.500 0.500 0.000

In eV/atom, the electronic total energy values for the records above are, in order, -2.423, -2.412, -3.417, -2.266.
In eV per atom, the energy relative to the elements, uncorrected values for the records above are, in order, 0.51, 0.52, -0.10, 0.67.
In μB/cell, the magnetic moment values for the records above are, in order, 1.6, 1.5, 0.0, 5.2.